Below is an optimized crystal structure of BeSbAs2Br, with properties calculated at the PBE level.

Lattice parameters (Å, degrees): 4.732 4.732 4.629 90.00 90.00 90.00
Element x y z (fractional)
Be (0.000, 0.000, 0.000)
Sb (0.500, 0.500, 0.500)
As (0.000, 0.500, 0.000)
As (0.500, 0.000, 0.000)
Br (0.000, 0.000, 0.500)

Output
ΔE_f (raw)	382	meV/atom
distance to the lowest polymorph of the same formula	0.000	eV per atom
ρ	5.77	g/cm³